Crystalline Mg4NiMo at its relaxed geometry. Source: Alexandria via LeMat-Bulk, functional PBE.

a = 7.6899 Å, b = 7.6899 Å, c = 7.6899 Å
α = 90.00°, β = 90.00°, γ = 90.00°
Last column: nearest neighbours and their distance in Å.
Space group F-43m (No. 216)
Asymmetric unit:
Mg  0.1253  0.1253  0.1253 (multiplicity 16)  6 Mg 2.71-2.73
Ni  0.0000  0.0000  0.5000 (multiplicity 4)  12 Mg 3.19, 4 Mo 3.33
Mo  0.2500  0.2500  0.7500 (multiplicity 4)  12 Mg 3.19, 4 Ni 3.33

Properties
Volume = 18.95 A^3/atom
Energy of formation from the pure elements = 655.4 meV/atom

Crystalline NpGeAu2 at its relaxed geometry. Source: Alexandria via LeMat-Bulk, functional PBE.

a = 6.2217 Å, b = 6.2275 Å, c = 5.3064 Å
α = 90.00°, β = 125.72°, γ = 90.00°
Last column: nearest neighbours and their distance in Å.
Space group C2/m (No. 12)
Asymmetric unit:
Np  0.0000  0.0000  0.0000 (multiplicity 2)  8 Au 3.08, 4 Ge 3.11
Ge  0.0000  0.5000  0.0000 (multiplicity 2)  8 Au 3.08, 4 Np 3.11
Au  0.0000  0.2502  0.5000 (multiplicity 4)  4 Ge 3.08, 4 Np 3.08, 4 Au 3.11-3.12

Properties
Volume = 20.87 A^3/atom
Energy of formation from the pure elements = -101.0 meV/atom

Crystalline AlAgOF2 at its relaxed geometry. Source: Alexandria via LeMat-Bulk, functional PBE.

a = 3.9042 Å, b = 3.9042 Å, c = 3.6340 Å
α = 90.00°, β = 90.00°, γ = 90.00°
Last column: nearest neighbours and their distance in Å.
Space group P4/mmm (No. 123)
Asymmetric unit:
Al  0.0000  0.0000  0.0000 (multiplicity 1)  2 O 1.82, 4 F 1.95
Ag  0.5000  0.5000  0.5000 (multiplicity 1)  8 F 2.67, 4 O 2.76
O  0.0000  0.0000  0.5000 (multiplicity 1)  2 Al 1.82
F  0.0000  0.5000  0.0000 (multiplicity 2)  2 Al 1.95

Properties
Volume = 11.08 A^3/atom
E above lowest polymorph = 0.00 eV per formula unit
ΔE_f (raw) = -2.203 eV per atom

Crystalline Be2HgAsSe at its relaxed geometry. Source: Alexandria via LeMat-Bulk, functional PBE.

a = 4.3663 Å, b = 4.3663 Å, c = 5.3074 Å
α = 90.00°, β = 90.00°, γ = 90.00°
Last column: nearest neighbours and their distance in Å.
Space group P4/mmm (No. 123)
Asymmetric unit:
Be  0.0000  0.5000  0.0000 (multiplicity 2)  2 As 2.18
Hg  0.0000  0.0000  0.5000 (multiplicity 1)  4 Se 3.09, 8 Be 3.44
As  0.5000  0.5000  0.0000 (multiplicity 1)  4 Be 2.18
Se  0.5000  0.5000  0.5000 (multiplicity 1)  2 As 2.65

Properties
Volume = 20.24 A^3/atom
ΔE_f (raw) = 0.596 eV per atom

Crystalline NdTm2Te at its relaxed geometry. Source: Alexandria via LeMat-Bulk, functional PBE.

a = 3.9586 Å, b = 12.1644 Å, c = 9.8176 Å
α = 90.00°, β = 90.00°, γ = 90.00°
Last column: nearest neighbours and their distance in Å.
Space group Cmcm (No. 63)
Asymmetric unit:
Nd  0.0000  0.0534  0.2500 (multiplicity 4)  3 Te 3.28-3.46, 4 Tm 3.56
Tm  0.0000  0.3636  0.0339 (multiplicity 8)  3 Te 3.12-3.22, 3 Tm 3.39-3.46
Te  0.0000  0.2314  0.7500 (multiplicity 4)  6 Tm 3.12-3.22, 3 Nd 3.28-3.46

Properties
Volume = 29.55 A^3/atom
E above lowest polymorph = 0.00 eV per formula unit
ΔE_f (raw) = -0.639 eV per atom

Crystalline FeTe2AuI at its relaxed geometry. Source: Alexandria via LeMat-Bulk, functional PBE.

a = 4.8798 Å, b = 4.8798 Å, c = 5.6722 Å
α = 90.00°, β = 90.00°, γ = 90.00°
Last column: nearest neighbours and their distance in Å.
Space group P4/mmm (No. 123)
Asymmetric unit:
Fe  0.0000  0.0000  0.0000 (multiplicity 1)  4 Te 2.44
Te  0.0000  0.5000  0.0000 (multiplicity 2)  2 Fe 2.44
Au  0.5000  0.5000  0.5000 (multiplicity 1)  4 I 3.45, 8 Te 3.74
I  0.0000  0.0000  0.5000 (multiplicity 1)  2 Fe 2.84

Properties
Volume = 27.01 A^3/atom
E above lowest polymorph = 0.50 eV per formula unit
ΔE_f (raw) = 0.614 eV per atom

Crystalline BaZnHgAu2 at its relaxed geometry. Source: Alexandria via LeMat-Bulk, functional PBE.

a = 4.5828 Å, b = 4.5828 Å, c = 12.2284 Å
α = 90.00°, β = 90.00°, γ = 90.00°
Last column: nearest neighbours and their distance in Å.
Space group I-4m2 (No. 119)
Asymmetric unit:
Ba  0.0000  0.0000  0.0000 (multiplicity 2)  8 Au 3.53, 4 Hg 3.82, 4 Zn 3.82
Zn  0.0000  0.5000  0.7500 (multiplicity 2)  4 Au 2.83
Hg  0.0000  0.5000  0.2500 (multiplicity 2)  4 Au 2.83
Au  0.0000  0.0000  0.3856 (multiplicity 4)  1 Au 2.80, 2 Hg 2.83, 2 Zn 2.83

Properties
Volume = 25.68 A^3/atom
Energy of formation from the pure elements = -445.5 meV/atom
E above lowest polymorph = 0.00 eV per formula unit

| no. | VASP energy (eV/atom) |
| --- | --- |
| 1 | -3.18 |
| 2 | -6.13 |
| 3 | -5.26 |
| 4 | -2.58 |
| 5 | -4.85 |
| 6 | -3.30 |
| 7 | -2.46 |